1.
Crystalline Co2Ag2Pt at its relaxed geometry, computed with GGA-PBE.

Structure (POSCAR):
```
Co2Ag2Pt
1.0
3.159 0.000 0.000
0.000 3.159 0.000
0.000 0.000 15.970
Co Ag Pt
4 4 2
Direct
0.000 0.500 0.250
0.000 0.500 0.750
0.500 0.000 0.250
0.500 0.000 0.750
0.000 0.000 0.109
0.000 0.000 0.891
0.500 0.500 0.391
0.500 0.500 0.609
0.000 0.000 0.500
0.500 0.500 0.000
```

Values from the calculation:
For the total magnetization, the calculation gives 3.6 μB/f.u. For the energy of formation, the calculation gives 0.480 eV/atom. As for the space-group type: No. 139.

2.
Crystalline LiTm6Se5 at its relaxed geometry, computed with GGA-PBE.

Structure (POSCAR):
```
LiTm6Se5
1.0
6.717 0.000 0.000
-3.359 5.817 0.000
0.000 0.000 14.088
Li Tm Se
2 12 10
Direct
0.000 0.000 0.250
0.000 0.000 0.750
0.000 0.322 0.113
0.000 0.322 0.387
0.000 0.678 0.613
0.000 0.678 0.887
0.322 0.000 0.113
0.322 0.000 0.387
0.322 0.322 0.613
0.322 0.322 0.887
0.678 0.000 0.613
0.678 0.000 0.887
0.678 0.678 0.113
0.678 0.678 0.387
0.000 0.353 0.750
0.000 0.647 0.250
0.333 0.667 0.000
0.333 0.667 0.500
0.353 0.000 0.750
0.353 0.353 0.250
0.647 0.000 0.250
0.647 0.647 0.750
0.667 0.333 0.000
0.667 0.333 0.500
```

Values from the calculation:
The energy relative to the elements, uncorrected comes out at -1.31 eV/atom. For the total magnetization, the calculation gives 0.0 μB/f.u. As for the space-group type: No. 193.

3.
Crystalline CsCaH3 at its relaxed geometry, computed with GGA-PBE.

Structure (POSCAR):
```
CsCaH3
1.0
4.593 0.000 0.000
0.000 4.593 0.000
0.000 0.000 4.593
Cs Ca H
1 1 3
Direct
0.000 0.000 0.000
0.500 0.500 0.500
0.000 0.500 0.500
0.500 0.000 0.500
0.500 0.500 0.000
```

Values from the calculation:
For the total magnetization, the calculation gives 0.0 μB/f.u. As for the distance to the lowest polymorph of the same formula: 0.0 kJ/mol of atoms. As for the space-group type: No. 221.

4.
Crystalline K3MoI6 at its relaxed geometry, computed with GGA-PBE.

Structure (POSCAR):
```
K3MoI6
1.0
0.000 6.135 6.135
6.135 0.000 6.135
6.135 6.135 0.000
K Mo I
3 1 6
Direct
0.000 0.000 0.000
0.250 0.250 0.250
0.750 0.750 0.750
0.500 0.500 0.500
0.271 0.271 0.729
0.271 0.729 0.271
0.271 0.729 0.729
0.729 0.271 0.271
0.729 0.271 0.729
0.729 0.729 0.271
```

Values from the calculation:
The energy relative to the elements, uncorrected comes out at -0.86 eV/atom. For the total magnetization, the calculation gives 3.0 μB/f.u. As for the space-group type: No. 225.

5.
Crystalline Ac4PdSeS2 at its relaxed geometry, computed with GGA-PBE.

Structure (POSCAR):
```
Ac4PdSeS2
1.0
7.658 0.000 0.000
0.000 4.321 0.000
-2.529 0.000 7.287
Ac Pd Se S
4 1 1 2
Direct
0.238 0.000 0.246
0.249 0.500 0.756
0.751 0.500 0.244
0.762 0.000 0.754
0.500 0.000 0.000
0.500 0.500 0.500
0.000 0.000 0.500
0.000 0.500 0.000
```

Values from the calculation:
The energy relative to the elements, uncorrected comes out at -1.62 eV/atom. For the total magnetization, the calculation gives 0.0 μB/f.u. As for the space-group type: No. 10.

6.
Crystalline HoErMgHg at its relaxed geometry, computed with GGA-PBE.

Structure (POSCAR):
```
HoErMgHg
1.0
3.764 0.000 0.000
0.000 3.764 0.000
0.000 0.000 7.307
Ho Er Mg Hg
1 1 1 1
Direct
0.000 0.000 0.000
0.000 0.000 0.510
0.500 0.500 0.256
0.500 0.500 0.753
```

Values from the calculation:
For the total magnetization, the calculation gives 0.0 μB/f.u. For the energy of formation, the calculation gives -0.276 eV/atom. As for the distance to the lowest polymorph of the same formula: 0.0 kJ/mol of atoms. As for the space-group type: No. 99.

7.
Crystalline Mg5Nb3N8 at its relaxed geometry, computed with GGA-PBE.

Structure (POSCAR):
```
Mg5Nb3N8
1.0
3.106 1.793 5.106
-3.106 1.793 5.106
0.000 -3.586 5.106
Mg Nb N
5 3 8
Direct
0.000 0.000 0.000
0.000 0.500 0.500
0.500 0.000 0.500
0.500 0.500 0.000
0.500 0.500 0.500
0.000 0.000 0.500
0.000 0.500 0.000
0.500 0.000 0.000
0.236 0.750 0.750
0.247 0.247 0.247
0.250 0.250 0.764
0.250 0.764 0.250
0.750 0.236 0.750
0.750 0.750 0.236
0.753 0.753 0.753
0.764 0.250 0.250
```

Values from the calculation:
The energy relative to the elements, uncorrected comes out at -0.97 eV/atom. For the total magnetization, the calculation gives 0.0 μB/f.u. As for the space-group type: No. 166.

8.
Crystalline LaOsRh at its relaxed geometry, computed with GGA-PBE.

Structure (POSCAR):
```
LaOsRh
1.0
6.448 0.000 0.000
0.000 6.448 0.000
0.000 0.000 6.448
La Os Rh
4 4 4
Direct
0.000 0.000 0.000
0.000 0.500 0.500
0.500 0.000 0.500
0.500 0.500 0.000
0.250 0.250 0.250
0.250 0.750 0.750
0.750 0.250 0.750
0.750 0.750 0.250
0.000 0.000 0.500
0.000 0.500 0.000
0.500 0.000 0.000
0.500 0.500 0.500
```

Values from the calculation:
For the total magnetization, the calculation gives 0.0 μB/f.u. For the energy of formation, the calculation gives 0.389 eV/atom. As for the distance to the lowest polymorph of the same formula: 19.9 kJ/mol of atoms. As for the space-group type: No. 216.

9.
Crystalline SrLaTeN2 at its relaxed geometry, computed with GGA-PBE.

Structure (POSCAR):
```
SrLaTeN2
1.0
4.727 0.000 0.000
0.000 4.727 0.000
0.000 0.000 6.210
Sr La Te N
1 1 1 2
Direct
0.000 0.000 0.000
0.500 0.500 0.500
0.000 0.000 0.500
0.000 0.500 0.000
0.500 0.000 0.000
```

Values from the calculation:
The energy relative to the elements, uncorrected comes out at 0.51 eV/atom. For the total magnetization, the calculation gives 3.0 μB/f.u. As for the distance to the lowest polymorph of the same formula: 56.6 kJ/mol of atoms. As for the space-group type: No. 123.

10.
Crystalline TbTiCu2 at its relaxed geometry, computed with GGA-PBE.

Structure (POSCAR):
```
TbTiCu2
1.0
3.250 0.000 0.000
0.000 3.250 0.000
0.000 0.000 6.684
Tb Ti Cu
1 1 2
Direct
0.000 0.000 0.000
0.000 0.000 0.500
0.500 0.500 0.299
0.500 0.500 0.701
```

Values from the calculation:
For the total magnetization, the calculation gives 1.0 μB/f.u. For the energy of formation, the calculation gives -0.088 eV/atom. As for the distance to the lowest polymorph of the same formula: 0.0 kJ/mol of atoms. As for the space-group type: No. 123.

11.
Crystalline La4HgPb at its relaxed geometry, computed with GGA-PBE.

Structure (POSCAR):
```
La4HgPb
1.0
7.677 0.000 0.000
0.000 7.678 0.000
-0.008 0.000 7.584
La Hg Pb
8 2 2
Direct
0.250 0.250 0.235
0.250 0.250 0.765
0.250 0.750 0.235
0.250 0.750 0.765
0.750 0.250 0.235
0.750 0.250 0.765
0.750 0.750 0.235
0.750 0.750 0.765
0.000 0.000 0.000
0.500 0.500 0.000
0.000 0.500 0.500
0.500 0.000 0.500
```

Values from the calculation:
For the total magnetization, the calculation gives 0.0 μB/f.u. For the energy of formation, the calculation gives -0.229 eV/atom. As for the distance to the lowest polymorph of the same formula: 0.0 kJ/mol of atoms. As for the space-group type: No. 12.

12.
Crystalline TbSmMgCo at its relaxed geometry, computed with GGA-PBE.

Structure (POSCAR):
```
TbSmMgCo
1.0
3.445 0.000 0.000
0.000 3.445 0.000
0.000 0.000 8.144
Tb Sm Mg Co
1 1 1 1
Direct
0.000 0.000 0.000
0.000 0.000 0.404
0.500 0.500 0.706
0.500 0.500 0.196
```

Values from the calculation:
For the total magnetization, the calculation gives 0.8 μB/f.u. For the energy of formation, the calculation gives -0.093 eV/atom. As for the distance to the lowest polymorph of the same formula: 0.0 kJ/mol of atoms. As for the space-group type: No. 99.